DFT (PBE) results for crystalline CaC at its relaxed geometry.

Unit cell a=3.412 b=2.764 c=7.171 alpha=90.00 beta=103.66 gamma=90.00
Sites, in units of the cell vectors:
Ca  0.620  0.250  0.243
Ca  0.380  0.750  0.757
C  0.974  0.250  0.949
C  0.026  0.750  0.051

E_form   246.7 meV per atom
Energy relative to the lowest polymorph listed for this composition   0.2477 eV/atom
Density   2.63 g/cm³
Total magnetization   0.0000 μB/atom
Calculated volume   16.4 A^3/atom
Crystal system   monoclinic